# 1
# Sc3AlO PBE optimized geometry
data_Sc3AlO
_symmetry_space_group_name_H-M 'C 1 2/m 1'
_symmetry_Int_Tables_number 12
_symmetry_space_group_name_Hall '-C 2y'
_cell_length_a 10.349
_cell_length_b 4.608
_cell_length_c 7.845
_cell_angle_alpha 90.00
_cell_angle_beta 113.33
_cell_angle_gamma 90.00
loop_
_atom_site_label
_atom_site_fract_x
_atom_site_fract_y
_atom_site_fract_z
Sc1 0.110 0.000 0.204
Sc2 0.138 0.500 0.924
Sc3 0.142 0.000 0.658
Al1 0.106 0.500 0.440
O1 0.126 0.000 0.932
# Formation energy without anion corrections = -1359 meV per atom

# 2
# Be2InPb PBE optimized geometry
data_Be2InPb
_symmetry_space_group_name_H-M 'P m m m'
_symmetry_Int_Tables_number 47
_symmetry_space_group_name_Hall '-P 2 2'
_cell_length_a 3.620
_cell_length_b 4.095
_cell_length_c 5.224
_cell_angle_alpha 90.00
_cell_angle_beta 90.00
_cell_angle_gamma 90.00
loop_
_atom_site_label
_atom_site_fract_x
_atom_site_fract_y
_atom_site_fract_z
Be1 0.000 0.000 0.000
Be2 0.000 0.500 0.500
In1 0.500 0.000 0.500
Pb1 0.500 0.500 0.000
# ΔH_f (0 K) = 0.734 eV per atom
# Energy above the lowest structure with this stoichiometry = 0.387 eV/atom

# 3
# HoBi2SO4 PBE optimized geometry
data_HoBi2SO4
_symmetry_space_group_name_H-M 'P 4/m m m'
_symmetry_Int_Tables_number 123
_symmetry_space_group_name_Hall '-P 4 2'
_cell_length_a 3.839
_cell_length_b 3.839
_cell_length_c 8.912
_cell_angle_alpha 90.00
_cell_angle_beta 90.00
_cell_angle_gamma 90.00
loop_
_atom_site_label
_atom_site_fract_x
_atom_site_fract_y
_atom_site_fract_z
Ho1 0.000 0.000 0.000
Bi1 0.500 0.500 0.286
S1 0.000 0.000 0.500
O1 0.000 0.500 0.154
# Formation energy without anion corrections = -1735 meV per atom

# 4
# CsHoZn2F8 PBE optimized geometry
data_CsHoZn2F8
_symmetry_space_group_name_H-M 'R 3 2'
_symmetry_Int_Tables_number 155
_symmetry_space_group_name_Hall 'R 3 2"'
_cell_length_a 5.4409
_cell_length_b 5.4409
_cell_length_c 26.9136
_cell_angle_alpha 90.00
_cell_angle_beta 90.00
_cell_angle_gamma 120.00
loop_
_atom_site_label
_atom_site_fract_x
_atom_site_fract_y
_atom_site_fract_z
Cs1 0.0000 0.0000 0.0000
Ho1 0.0000 0.0000 0.5000
Zn1 0.0000 0.0000 0.2480
F1 0.0000 0.0000 0.3171
F2 0.0094 0.3688 0.1156
# Formation energy without anion corrections = -2941 meV per atom

# 5
# Ce2AlB10 PBE optimized geometry
data_Ce2AlB10
_symmetry_space_group_name_H-M 'P b a m'
_symmetry_Int_Tables_number 55
_symmetry_space_group_name_Hall '-P 2 2ab'
_cell_length_a 5.683
_cell_length_b 11.310
_cell_length_c 4.196
_cell_angle_alpha 90.00
_cell_angle_beta 90.00
_cell_angle_gamma 90.00
loop_
_atom_site_label
_atom_site_fract_x
_atom_site_fract_y
_atom_site_fract_z
Ce1 0.199 0.137 0.000
Al1 0.000 0.500 0.500
B1 0.044 0.308 0.500
B2 0.121 0.958 0.500
B3 0.148 0.803 0.500
B4 0.213 0.382 0.197
# ΔH_f (0 K) = -0.498 eV per atom

# 6
# AgCl2 PBE optimized geometry
data_AgCl2
_symmetry_space_group_name_H-M 'P 63/m m c'
_symmetry_Int_Tables_number 194
_symmetry_space_group_name_Hall '-P 6c 2c'
_cell_length_a 6.0651
_cell_length_b 6.0651
_cell_length_c 4.7853
_cell_angle_alpha 90.00
_cell_angle_beta 90.00
_cell_angle_gamma 120.00
loop_
_atom_site_label
_atom_site_fract_x
_atom_site_fract_y
_atom_site_fract_z
Ag1 0.3333 0.6667 0.2500
Cl1 0.0000 0.0000 0.0000
Cl2 0.3333 0.6667 0.7500
# Formation energy without anion corrections = -137 meV per atom

# 7
# PmDyGaPt PBE optimized geometry
data_PmDyGaPt
_symmetry_space_group_name_H-M 'A m m 2'
_symmetry_Int_Tables_number 38
_symmetry_space_group_name_Hall 'A 2 -2'
_cell_length_a 4.381
_cell_length_b 3.881
_cell_length_c 11.188
_cell_angle_alpha 90.00
_cell_angle_beta 90.00
_cell_angle_gamma 90.00
loop_
_atom_site_label
_atom_site_fract_x
_atom_site_fract_y
_atom_site_fract_z
Pm1 0.000 0.000 0.000
Dy1 0.500 0.000 0.285
Ga1 0.500 0.000 0.574
Pt1 0.000 0.000 0.726
# ΔH_f (0 K) = -0.900 eV per atom
# Energy above the lowest structure with this stoichiometry = 0.000 eV/atom

# 8
# Be17ZnCr PBE optimized geometry
data_Be17ZnCr
_symmetry_space_group_name_H-M 'R 3 m'
_symmetry_Int_Tables_number 160
_symmetry_space_group_name_Hall 'R 3 -2"'
_cell_length_a 7.2206
_cell_length_b 7.2206
_cell_length_c 10.8562
_cell_angle_alpha 90.00
_cell_angle_beta 90.00
_cell_angle_gamma 120.00
loop_
_atom_site_label
_atom_site_fract_x
_atom_site_fract_y
_atom_site_fract_z
Be1 0.0000 0.0000 0.0548
Be2 0.0000 0.0000 0.2561
Be3 0.0005 0.3108 0.1574
Be4 0.0093 0.5047 0.6517
Be5 0.1687 0.3375 0.6506
Be6 0.1701 0.3402 0.3333
Zn1 0.0000 0.0000 0.5441
Cr1 0.0000 0.0000 0.8312
# ΔH_f (0 K) = -0.002 eV per atom

| no. | magnetization (μB/f.u.) | density of states at the Fermi level (states/eV per atom) |
| --- | --- | --- |
| 1 | 0.00 | 0.489 |
| 2 | 0.00 | 0.303 |
| 3 | 0.24 | 0.490 |
| 4 | 0.10 | 0.000 |
| 5 | 0.74 | 0.523 |
| 6 | 0.00 | 0.665 |
| 7 | 0.00 | 0.967 |
| 8 | 0.68 | 0.166 |